Entry 1:
DFT (GGA-PBE) results for Pm2ZnPt5 after structural relaxation.

Computed properties:
- space group = I4mm
- total magnetization (μB/atom) = 0.000
- theoretical density (g cm⁻³) = 14.2
- crystal system = tetragonal
- formation energy (meV/atom) = -849

a = 5.968 Å, b = 5.968 Å, c = 5.968 Å
α = 94.13°, β = 117.65°, γ = 117.65°
Element x y z (fractional)
Pm: 0.500 0.255 0.755
Pm: 0.500 0.755 0.255
Zn: 0.000 0.915 0.915
Pt: 0.453 0.737 0.737
Pt: 0.000 0.737 0.284
Pt: 0.000 0.284 0.737
Pt: 0.547 0.284 0.284
Pt: 0.000 0.253 0.253

***

Entry 2:
DFT (GGA-PBE) results for Ac12Si5Ge3 after structural relaxation.

Computed properties:
- space group = Ia-3d
- total magnetization (μB/atom) = 0.000
- theoretical density (g cm⁻³) = 6.5
- crystal system = cubic
- formation energy (no corrections) (kJ per mole of atoms) = -21.96

a = 16.023 Å, b = 16.023 Å, c = 16.023 Å
α = 109.47°, β = 109.47°, γ = 109.47°
Element x y z (fractional)
Ge: 0.750 0.375 0.125
Ge: 0.875 0.750 0.125
Ge: 0.375 0.750 0.625
Ge: 0.250 0.125 0.375
Ge: 0.875 0.125 0.250
Ge: 0.375 0.625 0.250
Ge: 0.625 0.375 0.750
Ge: 0.125 0.875 0.750
Ge: 0.750 0.875 0.625
Ge: 0.625 0.250 0.375
Ge: 0.125 0.250 0.875
Ge: 0.250 0.625 0.875
Si: 0.125 0.375 0.250
Si: 0.000 0.500 0.000
Si: 0.000 0.000 0.000
Si: 0.375 0.250 0.125
Si: 0.500 0.000 0.500
Si: 0.500 0.500 0.000
Si: 0.125 0.750 0.375
Si: 0.750 0.125 0.875
Si: 0.750 0.625 0.375
Si: 0.375 0.125 0.750
Si: 0.625 0.875 0.250
Si: 0.500 0.500 0.500
Si: 0.500 0.000 0.000
Si: 0.000 0.000 0.500
Si: 0.250 0.375 0.625
Si: 0.250 0.875 0.125
Si: 0.000 0.500 0.500
Si: 0.875 0.250 0.625
Si: 0.625 0.750 0.875
Si: 0.875 0.625 0.750
Ac: 0.719 0.132 0.048
Ac: 0.328 0.548 0.416
Ac: 0.952 0.368 0.281
Ac: 0.548 0.219 0.132
Ac: 0.588 0.719 0.672
Ac: 0.952 0.584 0.172
Ac: 0.328 0.781 0.412
Ac: 0.084 0.912 0.132
Ac: 0.584 0.952 0.672
Ac: 0.719 0.588 0.172
Ac: 0.781 0.452 0.368
Ac: 0.828 0.916 0.048
Ac: 0.132 0.719 0.548
Ac: 0.368 0.416 0.088
Ac: 0.088 0.916 0.368
Ac: 0.412 0.132 0.584
Ac: 0.088 0.172 0.219
Ac: 0.452 0.672 0.084
Ac: 0.828 0.912 0.281
Ac: 0.132 0.412 0.084
Ac: 0.368 0.952 0.781
Ac: 0.584 0.632 0.412
Ac: 0.916 0.828 0.548
Ac: 0.781 0.328 0.912
Ac: 0.416 0.368 0.588
Ac: 0.084 0.172 0.452
Ac: 0.219 0.672 0.088
Ac: 0.172 0.088 0.719
Ac: 0.632 0.048 0.219
Ac: 0.868 0.588 0.916
Ac: 0.548 0.328 0.916
Ac: 0.588 0.868 0.416
Ac: 0.912 0.828 0.781
Ac: 0.912 0.084 0.632
Ac: 0.868 0.281 0.452
Ac: 0.172 0.084 0.952
Ac: 0.632 0.584 0.912
Ac: 0.416 0.048 0.328
Ac: 0.281 0.412 0.828
Ac: 0.219 0.548 0.632
Ac: 0.916 0.088 0.868
Ac: 0.672 0.219 0.588
Ac: 0.452 0.781 0.868
Ac: 0.048 0.416 0.828
Ac: 0.412 0.281 0.328
Ac: 0.048 0.632 0.719
Ac: 0.672 0.452 0.584
Ac: 0.281 0.868 0.952

***

Entry 3:
DFT (GGA-PBE) results for Sc2HgSe after structural relaxation.

Computed properties:
- space group = P2/m
- total magnetization (μB/atom) = 0.000
- relative energy among the computed polymorphs (kJ/mol of atoms) = 18.4
- theoretical density (g cm⁻³) = 7.2
- crystal system = monoclinic
- formation energy (no corrections) (kJ per mole of atoms) = -75.65

a = 3.527 Å, b = 3.391 Å, c = 7.422 Å
α = 73.58°, β = 90.00°, γ = 90.00°
Element x y z (fractional)
Hg: 0.500 0.750 0.750
Sc: 0.000 0.069 0.015
Sc: 0.000 0.431 0.485
Se: 0.500 0.250 0.250